This record from Alexandria describes a geometry-optimized Pa3Tl4AgSe8 structure. The functional is PBE.

The value obtained for the formation energy without anion corrections is -0.8795 eV/atom. Its total moment is 4.026 μB per formula unit. As for the calculated total energy: -5.172 eV per atom.

The space group is R-3m (No. 166, hexagonal axes) and the conventional cell measures 8.2978, 8.2978 and 23.7256 Å, with angles of 90.00, 90.00 and 120.00 degrees. Symmetry generates all atoms from Pa at (0.0000, 0.5000, 0.0000), Tl at (0.0000, 0.0000, 0.5000), Tl at (0.0000, 0.5000, 0.5000), Ag at (0.0000, 0.0000, 0.0000), Se at (0.0000, 0.0000, 0.2645) and Se at (0.0088, 0.5044, 0.2647).